Entry 1:
PBE-GGA Tb3HoHg4, relaxed; DFT formation energy = -0.33 eV/atom; calculated total energy = -2.79 eV per atom; E above lowest polymorph = 151 meV/atom
1.0
-1.348 1.138 3.233
0.483 -6.988 2.661
8.011 4.447 -0.321
Hg Ho Tb
4 1 3
Direct
0.370 0.576 0.740
0.630 0.835 0.260
0.370 0.165 0.740
0.630 0.424 0.260
0.500 0.000 0.000
0.000 0.500 0.000
0.203 0.203 0.407
0.797 0.797 0.593

=====

Entry 2:
PBE-GGA Pm8Ho2Er3, relaxed; DFT formation energy = 0.21 eV/atom; calculated total energy = -4.47 eV per atom; E above lowest polymorph = 123 meV/atom
1.0
-1.744 -0.873 -5.347
6.764 -3.267 -1.673
-7.087 -7.411 3.518
Ho Pm Er
2 8 3
Direct
0.499 0.760 0.520
0.501 0.240 0.480
0.000 0.328 0.655
0.000 0.672 0.345
0.500 0.599 0.788
0.000 0.869 0.738
0.500 0.189 0.788
0.000 0.131 0.262
0.500 0.811 0.212
0.500 0.401 0.212
0.000 0.714 0.000
0.500 0.000 0.000
0.000 0.286 0.000

=====

Entry 3:
PBE-GGA CuSnBi, relaxed; DFT formation energy = 0.14 eV/atom; calculated total energy = -3.85 eV per atom; E above lowest polymorph = 68 meV/atom
1.0
-1.690 2.501 -1.433
-2.830 -1.123 1.377
3.310 2.962 5.161
Cu Bi Sn
1 1 1
Direct
0.673 0.673 0.347
0.027 0.027 0.053
0.300 0.300 0.600

=====

Entry 4:
PBE-GGA AcCu2BiSe4, relaxed; calculated total energy = -4.46 eV per atom; raw formation energy = -0.69 eV per atom
1.0
7.008 0.000 0.000
3.504 5.481 -0.011
3.504 0.438 5.464
Ac Cu Se Bi
1 2 4 1
Direct
0.000 0.000 0.000
0.163 0.337 0.337
0.837 0.663 0.663
0.960 0.497 0.090
0.454 0.090 0.497
0.546 0.503 0.910
0.040 0.910 0.503
0.500 0.500 0.500

=====

Entry 5:
PBE-GGA ScNi2W, relaxed; DFT formation energy = -0.05 eV/atom; calculated total energy = -7.76 eV per atom; E above lowest polymorph = 73 meV/atom
1.0
-2.944 0.762 0.565
-0.699 -2.989 0.384
1.267 0.470 5.967
Ni Sc W
2 1 1
Direct
0.500 0.500 0.219
0.000 0.000 0.008
0.000 0.000 0.476
0.500 0.500 0.798

=====

Entry 6:
PBE-GGA LuBePt2, relaxed; DFT formation energy = -0.86 eV/atom; calculated total energy = -5.95 eV per atom; E above lowest polymorph = 44 meV/atom
1.0
3.151 0.000 0.000
0.000 3.151 0.000
0.000 0.000 6.393
Lu Pt Be
1 2 1
Direct
0.500 0.500 0.500
0.000 0.000 0.788
0.000 0.000 0.212
0.500 0.500 0.000

=====

Entry 7:
PBE-GGA NaCaNb2Cl, relaxed; calculated total energy = -3.38 eV per atom; raw formation energy = 1.68 eV per atom
1.0
4.901 0.000 0.000
0.000 6.236 0.000
0.000 0.000 4.901
Ca Nb Cl Na
1 2 1 1
Direct
0.000 0.500 0.000
0.500 0.000 0.000
0.000 0.000 0.500
0.500 0.500 0.500
0.000 0.000 0.000

=====

Entry 8:
PBE-GGA Dy2AlGe2Ru5, relaxed; DFT formation energy = -0.47 eV/atom; calculated total energy = -7.33 eV per atom
1.0
3.317 0.000 0.000
0.000 10.017 0.000
0.000 0.000 10.017
Ge Ru Dy Al
4 10 4 2
Direct
0.000 0.870 0.370
0.000 0.630 0.870
0.000 0.370 0.130
0.000 0.130 0.630
0.500 0.500 0.000
0.500 0.937 0.201
0.500 0.000 0.500
0.500 0.201 0.063
0.500 0.701 0.437
0.500 0.799 0.937
0.500 0.563 0.701
0.500 0.437 0.299
0.500 0.063 0.799
0.500 0.299 0.563
0.000 0.172 0.328
0.000 0.828 0.672
0.000 0.328 0.828
0.000 0.672 0.172
0.000 0.000 0.000
0.000 0.500 0.500

=====

Entry 9:
PBE-GGA NiPdPb2, relaxed; DFT formation energy = 0.28 eV/atom; calculated total energy = -4.32 eV per atom; E above lowest polymorph = 181 meV/atom
1.0
3.320 0.000 0.000
1.660 2.876 0.000
1.660 0.959 9.287
Pb Ni Pd
2 1 1
Direct
0.096 0.096 0.711
0.904 0.904 0.289
0.500 0.500 0.500
0.000 0.000 0.000

=====

Q: Which size of the total moment values were calculated for the entries above? A: 0.00 0.00 0.00 0.00 0.00 0.00 3.96 0.00 0.00, in μB/cell.